1.
NdCuSi2Pt: optimized geometry, PBE.

Lattice parameters (Å, degrees): 4.1342 4.1342 10.1312 90.00 90.00 90.00
Space group I-4m2 (No. 119)
Asymmetric unit:
Nd 0.0000 0.0000 0.0000 x2
Cu 0.0000 0.5000 0.2500 x2
Si 0.0000 0.0000 0.3816 x4
Pt 0.0000 0.5000 0.7500 x2

=====

2.
NdCuSi2Pt2: optimized geometry, PBE.

Lattice parameters (Å, degrees): 4.2017 4.2017 13.5030 90.00 90.00 90.00
Space group I4/mmm (No. 139)
Asymmetric unit:
Nd 0.0000 0.0000 0.0000 x2
Cu 0.0000 0.0000 0.5000 x2
Si 0.0000 0.0000 0.3383 x4
Pt 0.0000 0.5000 0.2500 x4

=====

3.
NdCuSi2Pt5: optimized geometry, PBE.

Lattice parameters (Å, degrees): 4.1018 4.1018 10.1963 90.00 90.00 90.00
Space group P4/mmm (No. 123)
Asymmetric unit:
Nd 0.0000 0.0000 0.0000 x1
Cu 0.0000 0.0000 0.5000 x1
Si 0.5000 0.5000 0.2309 x2
Pt 0.0000 0.5000 0.3452 x4
Pt 0.5000 0.5000 0.0000 x1

=====

4.
Nd3Cu2SiPt9: optimized geometry, PBE.

Lattice parameters (Å, degrees): 5.6473 5.6473 11.3167 90.00 90.00 120.00
Space group P-3m1 (No. 164)
Asymmetric unit:
Nd 0.0000 0.0000 0.0000 x1
Nd 0.3333 0.6667 0.7517 x2
Cu 0.3333 0.6667 0.1735 x2
Si 0.0000 0.0000 0.5000 x1
Pt 0.0000 0.5000 0.0000 x3
Pt 0.1720 0.3440 0.3538 x6

=====

no.,final energy (eV per atom),theoretical density (g/cm3)
1,-5.993,8.80
2,-5.817,9.11
3,-6.163,12.00
4,-6.155,12.45